Entry 1:
Computed, not measured: an optimized crystal structure of TcP2IrPd at the PBE-GGA level of DFT.

As for the volume: 101.3 Å³ per cell. For the total magnetization, the calculation gives 3.7 μB per formula unit. Its total energy is -5.962 eV/atom.

The structure belongs to space group P4/mmm (No. 123); the cell edges are 4.436, 4.436 and 5.151 Å and the angles 90.00°, 90.00° and 90.00°. Symmetry generates all atoms from Tc at (0.000, 0.000, 0.000), P at (0.000, 0.500, 0.500), Ir at (0.500, 0.500, 0.500) and Pd at (0.500, 0.500, 0.000).

Entry 2:
Computed, not measured: an optimized crystal structure of Th2P3Ir4Pd at the PBE-GGA level of DFT.

As for the volume: 175.8 Å³ per cell. For the total magnetization, the calculation gives 0.0 μB per formula unit. Its total energy is -8.065 eV/atom.

The structure belongs to space group P-4m2 (No. 115); the cell edges are 4.025, 4.025 and 10.851 Å and the angles 90.00°, 90.00° and 90.00°. Symmetry generates all atoms from Th at (0.000, 0.500, 0.246), P at (0.000, 0.000, 0.000), P at (0.000, 0.500, 0.624), Ir at (0.000, 0.000, 0.500), Ir at (0.000, 0.500, 0.832), Ir at (0.500, 0.500, 0.500) and Pd at (0.500, 0.500, 0.000).

Entry 3:
Computed, not measured: an optimized crystal structure of U2P3Ir4Pd at the PBE-GGA level of DFT.

As for the volume: 166.8 Å³ per cell. For the total magnetization, the calculation gives 2.7 μB per formula unit. Its total energy is -8.574 eV/atom.

The structure belongs to space group P-4m2 (No. 115); the cell edges are 3.906, 3.906 and 10.932 Å and the angles 90.00°, 90.00° and 90.00°. Symmetry generates all atoms from U at (0.000, 0.500, 0.248), P at (0.000, 0.500, 0.875), P at (0.500, 0.500, 0.500), Ir at (0.000, 0.000, 0.000), Ir at (0.000, 0.500, 0.669), Ir at (0.500, 0.500, 0.000) and Pd at (0.000, 0.000, 0.500).

Entry 4:
Computed, not measured: an optimized crystal structure of UP2Ir2Pd at the PBE-GGA level of DFT.

As for the volume: 195.1 Å³ per cell. For the total magnetization, the calculation gives 2.2 μB per formula unit. Its total energy is -7.971 eV/atom.

The structure belongs to space group Pmc2_1 (No. 26); the cell edges are 3.642, 8.647 and 6.195 Å and the angles 90.00°, 90.00° and 90.00°. Symmetry generates all atoms from U at (0.000, 0.059, 0.000), P at (0.000, 0.395, 0.782), P at (0.500, 0.189, 0.295), Ir at (0.000, 0.354, 0.402), Ir at (0.500, 0.381, 0.028) and Pd at (0.500, 0.189, 0.678).

Entry 5:
Computed, not measured: an optimized crystal structure of VPIrPd2 at the PBE-GGA level of DFT.

As for the volume: 105.1 Å³ per cell. For the total magnetization, the calculation gives 0.0 μB per formula unit. Its total energy is -5.523 eV/atom.

The structure belongs to space group P4/mmm (No. 123); the cell edges are 4.886, 4.886 and 4.401 Å and the angles 90.00°, 90.00° and 90.00°. Symmetry generates all atoms from V at (0.000, 0.000, 0.000), P at (0.500, 0.500, 0.000), Ir at (0.000, 0.000, 0.500) and Pd at (0.000, 0.500, 0.500).

Entry 6:
Computed, not measured: an optimized crystal structure of YP2IrPd at the PBE-GGA level of DFT.

As for the volume: 106.8 Å³ per cell. For the total magnetization, the calculation gives 0.0 μB per formula unit. Its total energy is -5.700 eV/atom.

The structure belongs to space group P4/mmm (No. 123); the cell edges are 4.505, 4.505 and 5.265 Å and the angles 90.00°, 90.00° and 90.00°. Symmetry generates all atoms from Y at (0.000, 0.000, 0.000), P at (0.000, 0.500, 0.500), Ir at (0.500, 0.500, 0.000) and Pd at (0.000, 0.000, 0.500).

Entry 7:
Computed, not measured: an optimized crystal structure of PmPIr at the PBE-GGA level of DFT.

For the distance to the lowest polymorph of the same formula, the calculation gives 2.07 eV per formula unit. As for the volume: 112.7 Å³ per cell. For the total magnetization, the calculation gives 0.0 μB per formula unit. Its total energy is -6.850 eV/atom.

The structure belongs to space group I4mm (No. 107); the cell edges are 3.234, 3.234 and 10.771 Å and the angles 90.00°, 90.00° and 90.00°. Symmetry generates all atoms from Pm at (0.000, 0.000, 0.000), P at (0.000, 0.000, 0.294) and Ir at (0.000, 0.000, 0.705).

Entry 8:
Computed, not measured: an optimized crystal structure of PmP2Ir at the PBE-GGA level of DFT.

For the distance to the lowest polymorph of the same formula, the calculation gives 0.00 eV per formula unit. As for the volume: 217.1 Å³ per cell. For the total magnetization, the calculation gives 0.0 μB per formula unit. Its total energy is -7.123 eV/atom.

The structure belongs to space group R-3m (No. 166, hexagonal axes); the cell edges are 3.9153, 3.9153 and 16.3541 Å and the angles 90.00°, 90.00° and 120.00°. Symmetry generates all atoms from Pm at (0.0000, 0.0000, 0.0000), P at (0.0000, 0.0000, 0.2261) and Ir at (0.0000, 0.0000, 0.5000).

Entry 9:
Computed, not measured: an optimized crystal structure of Pm2P2Ir5 at the PBE-GGA level of DFT.

As for the volume: 153.4 Å³ per cell. For the total magnetization, the calculation gives 0.0 μB per formula unit. Its total energy is -7.959 eV/atom.

The structure belongs to space group P4/mmm (No. 123); the cell edges are 4.144, 4.144 and 8.933 Å and the angles 90.00°, 90.00° and 90.00°. Symmetry generates all atoms from Pm at (0.000, 0.000, 0.000), Pm at (0.000, 0.000, 0.500), P at (0.500, 0.500, 0.139), Ir at (0.000, 0.500, 0.260) and Ir at (0.500, 0.500, 0.500).

Entry 10:
Computed, not measured: an optimized crystal structure of PmP4Ir5 at the PBE-GGA level of DFT.

As for the volume: 332.0 Å³ per cell. For the total magnetization, the calculation gives 0.0 μB per formula unit. Its total energy is -7.581 eV/atom.

The structure belongs to space group Pmmn (No. 59, origin choice 2); the cell edges are 6.918, 10.497 and 4.572 Å and the angles 90.00°, 90.00° and 90.00°. Symmetry generates all atoms from Pm at (0.250, 0.250, 0.017), P at (0.020, 0.750, 0.508), P at (0.250, 0.531, 0.767), Ir at (0.054, 0.566, 0.248) and Ir at (0.250, 0.750, 0.902).

Entry 11:
Computed, not measured: an optimized crystal structure of PmP2Ir at the PBE-GGA level of DFT.

For the distance to the lowest polymorph of the same formula, the calculation gives 2.71 eV per formula unit. As for the volume: 70.1 Å³ per cell. For the total magnetization, the calculation gives 0.0 μB per formula unit. Its total energy is -6.445 eV/atom.

The structure belongs to space group P4/mmm (No. 123); the cell edges are 4.600, 4.600 and 3.314 Å and the angles 90.00°, 90.00° and 90.00°. Symmetry generates all atoms from Pm at (0.000, 0.000, 0.000), P at (0.000, 0.500, 0.500) and Ir at (0.500, 0.500, 0.000).

Entry 12:
Computed, not measured: an optimized crystal structure of PmPIr at the PBE-GGA level of DFT.

For the distance to the lowest polymorph of the same formula, the calculation gives 0.67 eV per formula unit. As for the volume: 236.0 Å³ per cell. For the total magnetization, the calculation gives 0.0 μB per formula unit. Its total energy is -7.317 eV/atom.

The structure belongs to space group C2/m (No. 12); the cell edges are 10.354, 4.172 and 7.116 Å and the angles 90.00°, 129.85° and 90.00°. Symmetry generates all atoms from Pm at (0.052, 0.000, 0.304), P at (0.193, 0.500, 0.781) and Ir at (0.175, 0.500, 0.123).